{"formula": "RbV2Ga", "functional": "PBE", "state": "relaxed", "lattice_angstrom": [[-0.397, -4.711, -1.321], [0.421, -3.539, 3.375], [-3.944, -2.600, 1.335]], "species": ["Rb", "Ga", "V", "V"], "fractional_positions": [[0.500, 0.500, 0.500], [0.000, 0.000, 0.000], [0.250, 0.250, 0.250], [0.750, 0.750, 0.750]], "sg": "No. 225", "dft_energy_ev_per_atom": -4.2928, "formation_enthalpy_0k_ev_per_atom": 1.265, "polymorph_energy_mev_per_atom": 81, "vol_a3_per_cell": 84}